[1]
{
  "formula": "Zr4AlCu",
  "functional": "GGA-PBE",
  "state": "optimized geometry",
  "lattice": [[9.360, 0.000, 0.000], [0.000, 3.078, 0.000], [0.000, 0.000, 8.442]],
  "species": ["Zr", "Zr", "Zr", "Zr", "Zr", "Zr", "Zr", "Zr", "Al", "Al", "Cu", "Cu"],
  "frac_coords": [[0.000, 0.000, 0.000], [0.028, 0.500, 0.329], [0.250, 0.500, 0.873], [0.472, 0.500, 0.329], [0.500, 0.000, 0.000], [0.528, 0.500, 0.671], [0.750, 0.500, 0.127], [0.972, 0.500, 0.671], [0.250, 0.000, 0.538], [0.750, 0.000, 0.462], [0.250, 0.000, 0.195], [0.750, 0.000, 0.805]],
  "space_group": "Pmma",
  "final_energy_ev_per_cell": -85.01,
  "crystal_system": "orthorhombic"
}

---

[2]
{
  "formula": "ZrAl2Cu9",
  "functional": "GGA-PBE",
  "state": "optimized geometry",
  "lattice": [[-4.990, 4.990, 3.257], [4.990, -4.990, 3.257], [4.990, 4.990, -3.257]],
  "species": ["Zr", "Zr", "Al", "Al", "Al", "Al", "Cu", "Cu", "Cu", "Cu", "Cu", "Cu", "Cu", "Cu", "Cu", "Cu", "Cu", "Cu", "Cu", "Cu", "Cu", "Cu", "Cu", "Cu"],
  "frac_coords": [[0.375, 0.625, 0.750], [0.625, 0.375, 0.250], [0.000, 0.000, 0.000], [0.000, 0.000, 0.500], [0.000, 0.500, 0.000], [0.500, 0.000, 0.500], [0.125, 0.875, 0.250], [0.131, 0.554, 0.334], [0.131, 0.797, 0.576], [0.203, 0.280, 0.334], [0.203, 0.869, 0.924], [0.280, 0.203, 0.834], [0.280, 0.446, 0.076], [0.446, 0.280, 0.576], [0.446, 0.869, 0.166], [0.554, 0.131, 0.834], [0.554, 0.720, 0.424], [0.720, 0.554, 0.924], [0.720, 0.797, 0.166], [0.797, 0.131, 0.076], [0.797, 0.720, 0.666], [0.869, 0.203, 0.424], [0.869, 0.446, 0.666], [0.875, 0.125, 0.750]],
  "space_group": "I4_1/amd",
  "final_energy_ev_per_cell": -108.46,
  "crystal_system": "tetragonal"
}

---

[3]
{
  "formula": "Zr4AlCu",
  "functional": "GGA-PBE",
  "state": "optimized geometry",
  "lattice": [[4.931, 0.000, 0.000], [-2.465, 4.270, 0.000], [0.000, 0.000, 5.658]],
  "species": ["Zr", "Zr", "Zr", "Zr", "Al", "Cu"],
  "frac_coords": [[0.333, 0.667, 0.250], [0.333, 0.667, 0.750], [0.667, 0.333, 0.250], [0.667, 0.333, 0.750], [0.000, 0.000, 0.000], [0.000, 0.000, 0.500]],
  "space_group": "P6/mmm",
  "final_energy_ev_per_cell": -41.18,
  "crystal_system": "hexagonal"
}

---

[4]
{
  "formula": "Zr3AlCu2",
  "functional": "GGA-PBE",
  "state": "optimized geometry",
  "lattice": [[3.126, 0.000, 0.000], [0.000, 3.126, 0.000], [0.000, 0.000, 11.120]],
  "species": ["Zr", "Zr", "Zr", "Al", "Cu", "Cu"],
  "frac_coords": [[0.000, 0.000, 0.000], [0.000, 0.000, 0.322], [0.000, 0.000, 0.678], [0.500, 0.500, 0.500], [0.500, 0.500, 0.157], [0.500, 0.500, 0.843]],
  "space_group": "P4/mmm",
  "final_energy_ev_per_cell": -39.00,
  "crystal_system": "tetragonal"
}

---

[5]
{
  "formula": "Zr3Al6Cu5",
  "functional": "GGA-PBE",
  "state": "optimized geometry",
  "lattice": [[4.081, 0.000, 0.000], [0.000, 12.028, 0.000], [0.000, 0.000, 9.030]],
  "species": ["Zr", "Zr", "Zr", "Zr", "Zr", "Zr", "Al", "Al", "Al", "Al", "Al", "Al", "Al", "Al", "Al", "Al", "Al", "Al", "Cu", "Cu", "Cu", "Cu", "Cu", "Cu", "Cu", "Cu", "Cu", "Cu"],
  "frac_coords": [[0.250, 0.046, 0.249], [0.250, 0.454, 0.249], [0.250, 0.750, 0.254], [0.750, 0.250, 0.746], [0.750, 0.546, 0.751], [0.750, 0.954, 0.751], [0.250, 0.081, 0.605], [0.250, 0.250, 0.057], [0.250, 0.250, 0.422], [0.250, 0.419, 0.605], [0.250, 0.598, 0.976], [0.250, 0.902, 0.976], [0.750, 0.098, 0.024], [0.750, 0.402, 0.024], [0.750, 0.581, 0.395], [0.750, 0.750, 0.578], [0.750, 0.750, 0.943], [0.750, 0.919, 0.395], [0.250, 0.099, 0.874], [0.250, 0.401, 0.874], [0.250, 0.625, 0.533], [0.250, 0.750, 0.766], [0.250, 0.875, 0.533], [0.750, 0.125, 0.467], [0.750, 0.250, 0.234], [0.750, 0.375, 0.467], [0.750, 0.599, 0.126], [0.750, 0.901, 0.126]],
  "space_group": "Pmmn",
  "final_energy_ev_per_cell": -147.78,
  "crystal_system": "orthorhombic"
}

---

[6]
{
  "formula": "Zr3AlCu3",
  "functional": "GGA-PBE",
  "state": "optimized geometry",
  "lattice": [[3.883, 0.000, 0.000], [0.000, 6.393, 0.000], [0.000, 0.000, 10.242]],
  "species": ["Zr", "Zr", "Zr", "Zr", "Zr", "Zr", "Al", "Al", "Cu", "Cu", "Cu", "Cu", "Cu", "Cu"],
  "frac_coords": [[0.250, 0.013, 0.154], [0.250, 0.250, 0.658], [0.250, 0.487, 0.154], [0.750, 0.513, 0.846], [0.750, 0.750, 0.342], [0.750, 0.987, 0.846], [0.250, 0.750, 0.657], [0.750, 0.250, 0.343], [0.250, 0.026, 0.426], [0.250, 0.250, 0.934], [0.250, 0.474, 0.426], [0.750, 0.526, 0.574], [0.750, 0.750, 0.066], [0.750, 0.974, 0.574]],
  "space_group": "Pmmn",
  "final_energy_ev_per_cell": -84.01,
  "crystal_system": "orthorhombic"
}

---

[7]
{
  "formula": "Zr2AlCu",
  "functional": "GGA-PBE",
  "state": "optimized geometry",
  "lattice": [[4.370, 0.000, 0.000], [0.000, 4.370, 0.000], [0.000, 0.000, 3.879]],
  "species": ["Zr", "Zr", "Al", "Cu"],
  "frac_coords": [[0.000, 0.500, 0.000], [0.500, 0.000, 0.000], [0.000, 0.000, 0.500], [0.500, 0.500, 0.500]],
  "space_group": "P4/mmm",
  "final_energy_ev_per_cell": -25.93,
  "crystal_system": "tetragonal"
}

---

[8]
{
  "formula": "Zr2AlCu",
  "functional": "GGA-PBE",
  "state": "optimized geometry",
  "lattice": [[1.617, 0.934, 8.720], [-1.617, 0.934, 8.720], [0.000, -1.867, 8.720]],
  "species": ["Zr", "Zr", "Al", "Cu"],
  "frac_coords": [[0.000, 0.000, 0.000], [0.239, 0.239, 0.239], [0.759, 0.759, 0.759], [0.492, 0.492, 0.492]],
  "space_group": "R3m",
  "final_energy_ev_per_cell": -24.91,
  "crystal_system": "trigonal"
}